[1]
Al2ZnCd after structural relaxation. Source: Alexandria via LeMat-Bulk, functional PBE.

The structure in CIF format:
```
data_Al2ZnCd
_cell_length_a 5.1367
_cell_length_b 5.1367
_cell_length_c 5.1367
_cell_angle_alpha 132.55
_cell_angle_beta 132.55
_cell_angle_gamma 69.36
_space_group_name_H-M_alt 'P 1'
_space_group_IT_number 1
loop_
_space_group_symop_operation_xyz
'x,y,z'
loop_
_atom_site_label
_atom_site_fract_x
_atom_site_fract_y
_atom_site_fract_z
Zn1 0.7500 0.2500 0.5000
Cd1 0.2500 0.7500 0.5000
Al1 0.0000 0.0000 0.0000
Al2 0.5000 0.5000 0.0000
```

Output
Its energy relative to the elements is 0.48 eV per formula unit. As for the calculated density: 5.3 g/cm³. The total energy is -9.2 eV/cell. Its excess energy over the best structure of this formula in the dataset is 24.7 kJ/mol of formula units.

=====

[2]
RuWCl after structural relaxation. Source: Alexandria via LeMat-Bulk, functional PBE.

The structure in CIF format:
```
data_RuWCl
_cell_length_a 6.0638
_cell_length_b 6.0638
_cell_length_c 6.0638
_cell_angle_alpha 152.04
_cell_angle_beta 152.04
_cell_angle_gamma 39.96
_space_group_name_H-M_alt 'P 1'
_space_group_IT_number 1
loop_
_space_group_symop_operation_xyz
'x,y,z'
loop_
_atom_site_label
_atom_site_fract_x
_atom_site_fract_y
_atom_site_fract_z
Cl1 0.0163 0.0163 0.0000
Ru1 0.3105 0.3105 0.0000
W1 0.6732 0.6732 0.0000
```

Output
As for the calculated density: 10.9 g/cm³. The total energy is -23.2 eV/cell. Its excess energy over the best structure of this formula in the dataset is 18.5 kJ/mol of formula units. As for the raw formation energy: 87.6 kJ/mol of formula units.

=====

Copy entry 2 word for word.
RuWCl after structural relaxation. Source: Alexandria via LeMat-Bulk, functional PBE.

The structure in CIF format:
```
data_RuWCl
_cell_length_a 6.0638
_cell_length_b 6.0638
_cell_length_c 6.0638
_cell_angle_alpha 152.04
_cell_angle_beta 152.04
_cell_angle_gamma 39.96
_space_group_name_H-M_alt 'P 1'
_space_group_IT_number 1
loop_
_space_group_symop_operation_xyz
'x,y,z'
loop_
_atom_site_label
_atom_site_fract_x
_atom_site_fract_y
_atom_site_fract_z
Cl1 0.0163 0.0163 0.0000
Ru1 0.3105 0.3105 0.0000
W1 0.6732 0.6732 0.0000
```

Output
As for the calculated density: 10.9 g/cm³. The total energy is -23.2 eV/cell. Its excess energy over the best structure of this formula in the dataset is 18.5 kJ/mol of formula units. As for the raw formation energy: 87.6 kJ/mol of formula units.